DFT (GGA-PBEsol) results for a relaxed structure of BaAgBi2.

**Energy of formation from the pure elements**: -0.18 eV per atom
**DFT total energy**: -14.8 eV/cell

Unit cell a=5.5366 b=5.5366 c=5.5366 alpha=60.00 beta=60.00 gamma=60.00
Last column: nearest neighbours and their distance in Å.
Fractional positions:
Ba  0.0000  0.0000  0.0000  8 Bi 3.39
Ag  0.5000  0.5000  0.5000  8 Bi 3.39
Bi  0.2500  0.2500  0.2500  4 Ba 3.39, 4 Ag 3.39
Bi  0.7500  0.7500  0.7500  4 Ag 3.39, 4 Ba 3.39